5
Lattice="4.302 0.000 0.000 0.000 5.363 0.000 0.000 0.000 4.302" Properties=species:S:1:pos:R:3 comment="FeAuBrF2 | Alexandria via LeMat-Bulk | PBE with a Hubbard U | relaxed" energy_ev_per_cell=-14.30 spacegroup=P4/mmm m_tot_mub_per_cell=3.98 volume_a3_per_cell=99.27 pbc="T T T"
Au 2.151 2.681 2.151
Fe 0.000 2.681 0.000
Br 0.000 0.000 0.000
F 0.000 0.000 2.151
F 2.151 0.000 0.000